--- one ---
Compound: BeNbTeI2
Source: Alexandria
Functional: GGA-PBE
Structure: optimized geometry

Results
SG: P4/mmm
Crystal system: tetragonal
Total magnetization: 2.78 μB/f.u.

a b c (Å): 5.078 5.078 5.170
angles (deg): 90.00 90.00 90.00
Site moments in Bohr magnetons follow the coordinates.
Element x y z (fractional)
1 Nb 0.500 0.500 0.500  2.53
2 I 0.500 0.000 0.000  -0.09
3 Be 0.000 0.000 0.000  0.02
4 I 0.000 0.500 0.000  -0.09
5 Te 0.000 0.000 0.500  -0.19


--- two ---
Compound: BeNbTeI2
Source: Alexandria
Functional: GGA-PBE
Structure: optimized geometry

Results
SG: P4/mmm
Crystal system: tetragonal
Total magnetization: 0.00 μB/f.u.

a b c (Å): 5.654 5.654 5.392
angles (deg): 90.00 90.00 90.00
Element x y z (fractional)
1 Be 0.500 0.500 0.500
2 Nb 0.000 0.000 0.000
3 I 0.000 0.500 0.000
4 Te 0.000 0.000 0.500
5 I 0.500 0.000 0.000


Most stable: two (next structure +0.106 eV/atom)